w | DFT (GGA-PBE) results for a geometry-optimized KBeSbI2 structure.

Summary:
- V: 303.45 Å³/cell

The structure in CIF format:
```
data_KBeSbI2
_cell_length_a 6.5153
_cell_length_b 6.5153
_cell_length_c 7.1487
_cell_angle_alpha 90.00
_cell_angle_beta 90.00
_cell_angle_gamma 90.00
_symmetry_space_group_name_H-M 'P 1'
_symmetry_Int_Tables_number 1
loop_
_symmetry_equiv_pos_as_xyz
'x,y,z'
loop_
_atom_site_label
_atom_site_type_symbol
_atom_site_fract_x
_atom_site_fract_y
_atom_site_fract_z
_atom_site_occupancy
I1 I 0.5000 0.0000 0.0000 1
Sb1 Sb 0.0000 0.0000 0.5000 1
I2 I 0.0000 0.5000 0.0000 1
Be1 Be 0.5000 0.5000 0.5000 1
K1 K 0.0000 0.0000 0.0000 1
```

***

x | DFT (GGA-PBE) results for a geometry-optimized KBeSbI2 structure.

Summary:
- V: 166.38 Å³/cell

The structure in CIF format:
```
data_KBeSbI2
_cell_length_a 5.9551
_cell_length_b 5.9551
_cell_length_c 4.6917
_cell_angle_alpha 90.00
_cell_angle_beta 90.00
_cell_angle_gamma 90.00
_symmetry_space_group_name_H-M 'P 1'
_symmetry_Int_Tables_number 1
loop_
_symmetry_equiv_pos_as_xyz
'x,y,z'
loop_
_atom_site_label
_atom_site_type_symbol
_atom_site_fract_x
_atom_site_fract_y
_atom_site_fract_z
_atom_site_occupancy
I1 I 0.5000 0.0000 0.0000 1
Sb1 Sb 0.0000 0.0000 0.5000 1
K1 K 0.5000 0.5000 0.5000 1
I2 I 0.0000 0.5000 0.0000 1
Be1 Be 0.0000 0.0000 0.0000 1
```

***

Q: What are the energies relative to the best structure? A: w 105.4; x 0.0, in kJ/mol of atoms.

***

w | DFT (GGA-PBE) results for a geometry-optimized KBeTe2I structure.

Summary:
- V: 290.13 Å³/cell

The structure in CIF format:
```
data_KBeTe2I
_cell_length_a 6.6842
_cell_length_b 6.6842
_cell_length_c 6.4936
_cell_angle_alpha 90.00
_cell_angle_beta 90.00
_cell_angle_gamma 90.00
_symmetry_space_group_name_H-M 'P 1'
_symmetry_Int_Tables_number 1
loop_
_symmetry_equiv_pos_as_xyz
'x,y,z'
loop_
_atom_site_label
_atom_site_type_symbol
_atom_site_fract_x
_atom_site_fract_y
_atom_site_fract_z
_atom_site_occupancy
K1 K 0.0000 0.0000 0.0000 1
Te1 Te 0.5000 0.0000 0.0000 1
I1 I 0.0000 0.0000 0.5000 1
Te2 Te 0.0000 0.5000 0.0000 1
Be1 Be 0.5000 0.5000 0.5000 1
```

***

x | DFT (GGA-PBE) results for a geometry-optimized KBeTe2I structure.

Summary:
- V: 180.59 Å³/cell

The structure in CIF format:
```
data_KBeTe2I
_cell_length_a 4.8857
_cell_length_b 4.8857
_cell_length_c 7.5655
_cell_angle_alpha 90.00
_cell_angle_beta 90.00
_cell_angle_gamma 90.00
_symmetry_space_group_name_H-M 'P 1'
_symmetry_Int_Tables_number 1
loop_
_symmetry_equiv_pos_as_xyz
'x,y,z'
loop_
_atom_site_label
_atom_site_type_symbol
_atom_site_fract_x
_atom_site_fract_y
_atom_site_fract_z
_atom_site_occupancy
K1 K 0.5000 0.5000 0.5000 1
Te1 Te 0.0000 0.5000 0.0000 1
I1 I 0.0000 0.0000 0.5000 1
Te2 Te 0.5000 0.0000 0.0000 1
Be1 Be 0.0000 0.0000 0.0000 1
```

***

Q: What are the energies relative to the best structure? A: w 126.8; x 0.0, in kJ/mol of atoms.

***

w | DFT (GGA-PBE) results for a geometry-optimized LaBe2I structure.

Summary:
- V: 89.01 Å³/cell

The structure in CIF format:
```
data_LaBe2I
_cell_length_a 5.0116
_cell_length_b 5.0116
_cell_length_c 5.0116
_cell_angle_alpha 60.00
_cell_angle_beta 60.00
_cell_angle_gamma 60.00
_symmetry_space_group_name_H-M 'P 1'
_symmetry_Int_Tables_number 1
loop_
_symmetry_equiv_pos_as_xyz
'x,y,z'
loop_
_atom_site_label
_atom_site_type_symbol
_atom_site_fract_x
_atom_site_fract_y
_atom_site_fract_z
_atom_site_occupancy
I1 I 0.0000 0.0000 0.0000 1
Be1 Be 0.2500 0.2500 0.2500 1
La1 La 0.5000 0.5000 0.5000 1
Be2 Be 0.7500 0.7500 0.7500 1
```

***

x | DFT (GGA-PBE) results for a geometry-optimized LaBe2I structure.

Summary:
- V: 189.59 Å³/cell

The structure in CIF format:
```
data_LaBe2I
_cell_length_a 7.7809
_cell_length_b 7.7809
_cell_length_c 6.3307
_cell_angle_alpha 52.08
_cell_angle_beta 52.08
_cell_angle_gamma 90.00
_symmetry_space_group_name_H-M 'P 1'
_symmetry_Int_Tables_number 1
loop_
_symmetry_equiv_pos_as_xyz
'x,y,z'
loop_
_atom_site_label
_atom_site_type_symbol
_atom_site_fract_x
_atom_site_fract_y
_atom_site_fract_z
_atom_site_occupancy
Be1 Be 0.5936 0.1250 0.2500 1
I1 I 0.5000 0.5000 0.0000 1
Be2 Be 0.3750 0.4064 0.7500 1
Be3 Be 0.8750 0.8436 0.7500 1
La1 La 0.7500 0.2500 0.5000 1
La2 La 0.0000 0.0000 0.0000 1
Be4 Be 0.1564 0.6250 0.2500 1
I2 I 0.2500 0.7500 0.5000 1
```

***

Q: What are the energies relative to the best structure? A: w 11.8; x 0.0, in kJ/mol of atoms.

***

w | DFT (GGA-PBE) results for a geometry-optimized LaBeTe2I structure.

Summary:
- V: 141.61 Å³/cell

The structure in CIF format:
```
data_LaBeTe2I
_cell_length_a 5.2305
_cell_length_b 5.2305
_cell_length_c 5.1760
_cell_angle_alpha 90.00
_cell_angle_beta 90.00
_cell_angle_gamma 90.00
_symmetry_space_group_name_H-M 'P 1'
_symmetry_Int_Tables_number 1
loop_
_symmetry_equiv_pos_as_xyz
'x,y,z'
loop_
_atom_site_label
_atom_site_type_symbol
_atom_site_fract_x
_atom_site_fract_y
_atom_site_fract_z
_atom_site_occupancy
Te1 Te 0.5000 0.0000 0.0000 1
La1 La 0.5000 0.5000 0.5000 1
Te2 Te 0.0000 0.5000 0.0000 1
Be1 Be 0.0000 0.0000 0.0000 1
I1 I 0.0000 0.0000 0.5000 1
```

***

x | DFT (GGA-PBE) results for a geometry-optimized LaBeTe2I structure.

Summary:
- V: 241.96 Å³/cell

The structure in CIF format:
```
data_LaBeTe2I
_cell_length_a 6.2317
_cell_length_b 6.2317
_cell_length_c 6.2308
_cell_angle_alpha 90.00
_cell_angle_beta 90.00
_cell_angle_gamma 90.00
_symmetry_space_group_name_H-M 'P 1'
_symmetry_Int_Tables_number 1
loop_
_symmetry_equiv_pos_as_xyz
'x,y,z'
loop_
_atom_site_label
_atom_site_type_symbol
_atom_site_fract_x
_atom_site_fract_y
_atom_site_fract_z
_atom_site_occupancy
Te1 Te 0.5000 0.0000 0.0000 1
Te2 Te 0.0000 0.5000 0.0000 1
La1 La 0.0000 0.0000 0.0000 1
Be1 Be 0.5000 0.5000 0.5000 1
I1 I 0.0000 0.0000 0.5000 1
```

***

Q: What are the energies relative to the best structure? A: w 0.0; x 69.1, in kJ/mol of atoms.

***

w | DFT (GGA-PBE) results for a geometry-optimized LiBeI3 structure.

Summary:
- V: 168.22 Å³/cell

The structure in CIF format:
```
data_LiBeI3
_cell_length_a 5.5203
_cell_length_b 5.5203
_cell_length_c 5.5203
_cell_angle_alpha 90.00
_cell_angle_beta 90.00
_cell_angle_gamma 90.00
_symmetry_space_group_name_H-M 'P 1'
_symmetry_Int_Tables_number 1
loop_
_symmetry_equiv_pos_as_xyz
'x,y,z'
loop_
_atom_site_label
_atom_site_type_symbol
_atom_site_fract_x
_atom_site_fract_y
_atom_site_fract_z
_atom_site_occupancy
I1 I 0.5000 0.0000 0.0000 1
I2 I 0.0000 0.5000 0.0000 1
Li1 Li 0.0000 0.0000 0.0000 1
Be1 Be 0.5000 0.5000 0.5000 1
I3 I 0.0000 0.0000 0.5000 1
```

***

x | DFT (GGA-PBE) results for a geometry-optimized LiBeI3 structure.

Summary:
- V: 159.65 Å³/cell

The structure in CIF format:
```
data_LiBeI3
_cell_length_a 5.4248
_cell_length_b 5.4248
_cell_length_c 5.4248
_cell_angle_alpha 90.00
_cell_angle_beta 90.00
_cell_angle_gamma 90.00
_symmetry_space_group_name_H-M 'P 1'
_symmetry_Int_Tables_number 1
loop_
_symmetry_equiv_pos_as_xyz
'x,y,z'
loop_
_atom_site_label
_atom_site_type_symbol
_atom_site_fract_x
_atom_site_fract_y
_atom_site_fract_z
_atom_site_occupancy
Be1 Be 0.0000 0.0000 0.0000 1
I1 I 0.0000 0.5000 0.0000 1
I2 I 0.0000 0.0000 0.5000 1
I3 I 0.5000 0.0000 0.0000 1
Li1 Li 0.5000 0.5000 0.5000 1
```

***

y | DFT (GGA-PBE) results for a geometry-optimized LiBeI3 structure.

Summary:
- V: 364.41 Å³/cell

The structure in CIF format:
```
data_LiBeI3
_cell_length_a 4.0593
_cell_length_b 7.9385
_cell_length_c 11.3769
_cell_angle_alpha 96.29
_cell_angle_beta 90.00
_cell_angle_gamma 90.00
_symmetry_space_group_name_H-M 'P 1'
_symmetry_Int_Tables_number 1
loop_
_symmetry_equiv_pos_as_xyz
'x,y,z'
loop_
_atom_site_label
_atom_site_type_symbol
_atom_site_fract_x
_atom_site_fract_y
_atom_site_fract_z
_atom_site_occupancy
I1 I 0.7500 0.4046 0.6332 1
Li1 Li 0.7500 0.3279 0.3726 1
Be1 Be 0.7500 0.1927 0.7743 1
I2 I 0.2500 0.0853 0.3307 1
I3 I 0.2500 0.5954 0.3668 1
I4 I 0.7500 0.7632 0.1002 1
Li2 Li 0.2500 0.6721 0.6274 1
I5 I 0.2500 0.2368 0.8998 1
Be2 Be 0.2500 0.8073 0.2257 1
I6 I 0.7500 0.9147 0.6693 1
```

***

Q: What are the energies relative to the best structure? A: w 109.6; x 45.6; y 0.0, in kJ/mol of atoms.

***

w | DFT (GGA-PBE) results for a geometry-optimized LiBe2I structure.

Summary:
- V: 155.59 Å³/cell

The structure in CIF format:
```
data_LiBe2I
_cell_length_a 7.9761
_cell_length_b 7.9761
_cell_length_c 6.1474
_cell_angle_alpha 49.55
_cell_angle_beta 49.55
_cell_angle_gamma 90.00
_symmetry_space_group_name_H-M 'P 1'
_symmetry_Int_Tables_number 1
loop_
_symmetry_equiv_pos_as_xyz
'x,y,z'
loop_
_atom_site_label
_atom_site_type_symbol
_atom_site_fract_x
_atom_site_fract_y
_atom_site_fract_z
_atom_site_occupancy
I1 I 0.0000 0.0000 0.0000 1
Li1 Li 0.2500 0.7500 0.5000 1
Li2 Li 0.5000 0.5000 0.0000 1
Be1 Be 0.6505 0.1250 0.2500 1
Be2 Be 0.0995 0.6250 0.2500 1
Be3 Be 0.3750 0.3495 0.7500 1
I2 I 0.7500 0.2500 0.5000 1
Be4 Be 0.8750 0.9005 0.7500 1
```

***

x | DFT (GGA-PBE) results for a geometry-optimized LiBe2I structure.

Summary:
- V: 66.67 Å³/cell

The structure in CIF format:
```
data_LiBe2I
_cell_length_a 4.5515
_cell_length_b 4.5515
_cell_length_c 4.5515
_cell_angle_alpha 60.00
_cell_angle_beta 60.00
_cell_angle_gamma 60.00
_symmetry_space_group_name_H-M 'P 1'
_symmetry_Int_Tables_number 1
loop_
_symmetry_equiv_pos_as_xyz
'x,y,z'
loop_
_atom_site_label
_atom_site_type_symbol
_atom_site_fract_x
_atom_site_fract_y
_atom_site_fract_z
_atom_site_occupancy
Be1 Be 0.2500 0.2500 0.2500 1
Be2 Be 0.7500 0.7500 0.7500 1
I1 I 0.5000 0.5000 0.5000 1
Li1 Li 0.0000 0.0000 0.0000 1
```

***

Q: What are the energies relative to the best structure? A: w 0.0; x 47.3, in kJ/mol of atoms.